NaPuCo2O8 after structural relaxation. Source: Alexandria, functional GGA+U.

Unit cell a=5.8794 b=5.8794 c=5.8794 alpha=107.84 beta=107.84 gamma=112.78
Positions (direct):
Na1 0.0000 0.0000 0.0000
Pu1 0.7500 0.2500 0.5000
Co1 0.2500 0.7500 0.5000
Co2 0.5000 0.5000 0.0000
O1 0.0679 0.3941 0.3261
O2 0.0679 0.7418 0.6739
O3 0.1008 0.3227 0.7782
O4 0.2582 0.9321 0.3261
O5 0.5445 0.3227 0.2218
O6 0.6059 0.9321 0.6739
O7 0.6773 0.4555 0.7782
O8 0.6773 0.8992 0.2218

Summary:
Its space group is I-4m2. The spin magnetization is 4.95 μB/f.u. The value obtained for the total energy is -6.66 eV per atom.